5
Lattice="5.558 0.000 0.000 0.000 5.558 0.000 0.000 0.000 5.775" Properties=species:S:1:pos:R:3 comment="BaInSb2Te, single point on PBEsol structure, DFT meta-GGA SCAN" e_form_raw_mev_per_atom=-216 pbc="T T T"
Ba 0.000 0.000 0.000
In 2.779 2.779 2.887
Sb 0.000 2.779 2.887
Sb 2.779 0.000 2.887
Te 2.779 2.779 0.000

4
Lattice="-1.298 4.035 2.091 1.298 -4.035 2.091 1.298 4.035 -2.091" Properties=species:S:1:pos:R:3 comment="AlNi3, single point on PBEsol structure, DFT meta-GGA SCAN" ef_ev_per_atom=-0.347 pbc="T T T"
Al 0.000 0.000 0.000
Ni 1.298 2.011 0.556
Ni 1.298 0.000 2.084
Ni 0.000 2.024 2.647

Record-wise density of states at the Fermi level values, in states/eV/cell: 5.134 4.446